Record 1
Below is an optimized crystal structure of V2GaCl8, with properties calculated at the GGA-PBE level.

Values from the calculation:
The value obtained for the size of the total moment is 0.273 μB/atom. The value obtained for the total energy is -4.350 eV/atom. The uncorrected formation energy is -1074 meV/atom.

```
data_V2GaCl8
_chemical_formula_sum 'V4 Ga2 Cl16'
_cell_length_a 13.074
_cell_length_b 9.254
_cell_length_c 6.702
_cell_angle_alpha 90.00
_cell_angle_beta 100.80
_cell_angle_gamma 90.00
_symmetry_space_group_name_H-M 'C 1 2/m 1'
_symmetry_Int_Tables_number 12
loop_
_symmetry_equiv_pos_as_xyz
'x,y,z'
'-x,-y,-z'
'-x,y,-z'
'x,-y,z'
'x+1/2,y+1/2,z'
'-x+1/2,-y+1/2,-z'
'-x+1/2,y+1/2,-z'
'x+1/2,-y+1/2,z'
loop_
_atom_site_label
_atom_site_type_symbol
_atom_site_fract_x
_atom_site_fract_y
_atom_site_fract_z
V1 V 0.206 0.000 0.165
Ga1 Ga 0.000 0.000 0.500
Cl1 Cl 0.122 0.182 0.272
Cl2 Cl 0.130 0.500 0.699
Cl3 Cl 0.188 0.000 0.832
```

=====

Record 2
Below is an optimized crystal structure of MnTeS2, with properties calculated at the GGA-PBE level.

Values from the calculation:
The value obtained for the size of the total moment is 0.167 μB/atom. The value obtained for the total energy is -5.416 eV/atom. The uncorrected formation energy is -275 meV/atom.

```
data_MnTeS2
_chemical_formula_sum 'Mn2 Te2 S4'
_cell_length_a 3.337
_cell_length_b 6.998
_cell_length_c 8.215
_cell_angle_alpha 100.67
_cell_angle_beta 90.52
_cell_angle_gamma 102.03
_symmetry_space_group_name_H-M 'P 1'
_symmetry_Int_Tables_number 1
loop_
_symmetry_equiv_pos_as_xyz
'x,y,z'
loop_
_atom_site_label
_atom_site_type_symbol
_atom_site_fract_x
_atom_site_fract_y
_atom_site_fract_z
Mn1 Mn 0.000 0.000 0.000
Mn2 Mn 0.439 0.859 0.753
Te1 Te 0.656 0.301 0.117
Te2 Te 0.961 0.063 0.332
S1 S 0.034 0.089 0.761
S2 S 0.193 0.755 0.475
S3 S 0.405 0.774 0.994
S4 S 0.848 0.631 0.650
```

=====

Record 3
Below is an optimized crystal structure of CeTm4Si4, with properties calculated at the GGA-PBE level.

Values from the calculation:
The value obtained for the size of the total moment is 0.151 μB/atom. The value obtained for the total energy is -5.498 eV/atom. The uncorrected formation energy is -441 meV/atom.

```
data_CeTm4Si4
_chemical_formula_sum 'Ce2 Tm8 Si8'
_cell_length_a 9.147
_cell_length_b 9.147
_cell_length_c 5.630
_cell_angle_alpha 90.00
_cell_angle_beta 90.00
_cell_angle_gamma 90.00
_symmetry_space_group_name_H-M 'P 42/n'
_symmetry_Int_Tables_number 86
loop_
_symmetry_equiv_pos_as_xyz
'x,y,z'
'-x,-y,-z'
'-y,x+1/2,z+1/2'
'y,-x+1/2,-z+1/2'
'-x+1/2,-y+1/2,z'
'x+1/2,y+1/2,-z'
'y+1/2,-x,z+1/2'
'-y+1/2,x,-z+1/2'
loop_
_atom_site_label
_atom_site_type_symbol
_atom_site_fract_x
_atom_site_fract_y
_atom_site_fract_z
Ce1 Ce 0.250 0.250 0.250
Tm1 Tm 0.102 0.640 0.128
Si1 Si 0.045 0.594 0.635
```